Ce4HPb3 | PBE | optimized geometry

Geometry as POSCAR:
```
Ce4HPb3
1.0
-4.408 -2.856 -4.579
1.823 -2.977 6.031
-1.540 5.384 4.146
Pb Ce H
3 4 1
direct
0.854 0.000 0.854
0.635 0.269 0.904
0.635 0.731 0.365
0.153 0.296 0.449
0.153 0.704 0.857
0.138 0.793 0.345
0.551 0.207 0.345
0.032 0.500 0.532
```

Computed properties:
Total energy (eV for the cell shown): -40.5
Total magnetization (μB/f.u.): 3.65
Calculated volume (A^3/atom): 27.71
Space group: Imm2, No. 44